[1]
A relaxed structure of TaW4, computed with GGA-PBE.

Computed properties:
* offset from the most stable computed form: 1975.4 meV/atom
* ΔE_f: 1889.7 meV/atom

Unit cell a=5.111 b=5.111 c=5.111 alpha=109.47 beta=109.47 gamma=109.47
Atoms (fractional coordinates):
W 0.000 0.000 0.500
W 0.000 0.500 0.000
W 0.500 0.500 0.500
W 0.500 0.000 0.000
Ta 0.000 0.000 0.000


[2]
A relaxed structure of FeSbTe, computed with GGA-PBE.

Unit cell a=4.470 b=4.470 c=4.470 alpha=60.00 beta=60.00 gamma=60.00
Atoms (fractional coordinates):
Sb 0.000 0.000 0.000
Fe 0.750 0.750 0.750
Te 0.500 0.500 0.500


[3]
A relaxed structure of Ac5Hg2Ru, computed with GGA-PBE.

Computed properties:
* offset from the most stable computed form: 142.9 meV/atom
* ΔE_f: -195.9 meV/atom

Unit cell a=5.955 b=7.080 c=16.021 alpha=90.00 beta=90.00 gamma=114.87
Atoms (fractional coordinates):
Hg 0.776 0.553 0.053
Hg 0.776 0.553 0.447
Hg 0.224 0.447 0.947
Hg 0.224 0.447 0.553
Ru 0.774 0.548 0.750
Ru 0.226 0.452 0.250
Ac 0.924 0.848 0.615
Ac 0.377 0.755 0.117
Ac 0.924 0.848 0.885
Ac 0.076 0.152 0.385
Ac 0.623 0.245 0.617
Ac 0.623 0.245 0.883
Ac 0.076 0.152 0.115
Ac 0.710 0.420 0.250
Ac 0.377 0.755 0.383
Ac 0.290 0.580 0.750


[4]
A relaxed structure of La2PrEr6, computed with GGA-PBE.

Computed properties:
* offset from the most stable computed form: 485.8 meV/atom
* ΔE_f: 685.2 meV/atom

Unit cell a=5.539 b=5.539 c=21.664 alpha=90.00 beta=90.00 gamma=90.00
Atoms (fractional coordinates):
Er 0.672 0.672 0.500
Er 0.267 0.267 0.883
Er 0.233 0.767 0.383
Er 0.767 0.233 0.383
Er 0.267 0.267 0.117
Er 0.733 0.733 0.117
Er 0.828 0.172 0.000
Er 0.328 0.328 0.500
Er 0.733 0.733 0.883
Er 0.767 0.233 0.617
Er 0.233 0.767 0.617
Er 0.172 0.828 0.000
Pr 0.500 0.500 0.000
Pr 0.000 0.000 0.500
La 0.500 0.500 0.264
La 0.000 0.000 0.236
La 0.000 0.000 0.764
La 0.500 0.500 0.736


[5]
A relaxed structure of CoCu2GeP, computed with GGA-PBE.

Computed properties:
* offset from the most stable computed form: 95.9 meV/atom
* ΔE_f: 853.5 meV/atom

Unit cell a=4.481 b=4.306 c=4.481 alpha=90.00 beta=90.00 gamma=90.00
Atoms (fractional coordinates):
Cu 0.500 0.000 0.000
Cu 0.000 0.000 0.500
Co 0.000 0.000 0.000
P 0.500 0.500 0.500
Ge 0.000 0.500 0.000


[6]
A relaxed structure of PaIrBrO6, computed with GGA-PBE.

Unit cell a=8.089 b=7.496 c=7.861 alpha=118.47 beta=120.97 gamma=90.00
Atoms (fractional coordinates):
Br 0.252 0.502 0.504
Br 0.748 0.498 0.496
Pa 0.500 0.000 0.500
Pa 0.000 0.000 0.500
O 0.222 0.950 0.776
O 0.191 0.941 0.383
O 0.555 0.327 0.776
O 0.445 0.673 0.224
O 0.778 0.050 0.224
O 0.778 0.673 0.224
O 0.222 0.327 0.776
O 0.445 0.050 0.224
O 0.809 0.059 0.617
O 0.576 0.326 0.152
O 0.424 0.674 0.848
O 0.555 0.950 0.776
Ir 0.500 0.000 0.000
Ir 0.500 0.500 0.000


[7]
A relaxed structure of CoTe2PI, computed with GGA-PBE.

Computed properties:
* offset from the most stable computed form: 0.0 meV/atom

Unit cell a=4.947 b=4.947 c=5.172 alpha=90.00 beta=90.00 gamma=90.00
Atoms (fractional coordinates):
Te 0.000 0.500 0.000
Te 0.500 0.000 0.000
P 0.500 0.500 0.500
Co 0.000 0.000 0.000
I 0.000 0.000 0.500


[8]
A relaxed structure of Tm4TiRu5, computed with GGA-PBE.

Computed properties:
* ΔE_f: -460.6 meV/atom

Unit cell a=3.284 b=3.284 c=16.654 alpha=90.00 beta=90.00 gamma=90.00
Atoms (fractional coordinates):
Ru 0.500 0.500 0.087
Ru 0.500 0.500 0.500
Ru 0.500 0.500 0.913
Ru 0.500 0.500 0.705
Ru 0.500 0.500 0.295
Tm 0.000 0.000 0.194
Tm 0.000 0.000 0.602
Tm 0.000 0.000 0.398
Tm 0.000 0.000 0.806
Ti 0.000 0.000 0.000


Magnetic moment for every record listed, in sequence, given in Bohr magnetons per cell: 0.00 0.00 0.00 0.00 1.09 3.29 0.00 0.00.
Total energy for every record listed, in sequence, given in eV per atom: -10.84 -5.07 -4.00 -3.98 -4.21 -6.97 -3.33 -7.68.